# ErBO3 GGA-PBEsol optimized geometry
# Electronic total energy = -8.6971 eV per atom
# Energy relative to the elements, uncorrected = -3.159 eV/atom
data_ErBO3
_cell_length_a 7.089
_cell_length_b 8.891
_cell_length_c 9.682
_cell_angle_alpha 81.33
_cell_angle_beta 85.42
_cell_angle_gamma 77.26
_symmetry_space_group_name_H-M 'P -1'
_symmetry_Int_Tables_number 2
_symmetry_space_group_name_Hall '-P 1'
loop_
_atom_site_label
_atom_site_type_symbol
_atom_site_fract_x
_atom_site_fract_y
_atom_site_fract_z
Er1 Er 0.066 0.059 0.156
Er2 Er 0.073 0.556 0.655
Er3 Er 0.237 0.941 0.529
Er4 Er 0.249 0.457 0.021
Er5 Er 0.402 0.065 0.830
Er6 Er 0.402 0.568 0.337
B1 B 0.023 0.215 0.577
B2 B 0.033 0.720 0.114
B3 B 0.281 0.717 0.808
B4 B 0.331 0.228 0.294
B5 B 0.386 0.243 0.552
B6 B 0.394 0.747 0.053
O1 O 0.030 0.189 0.426
O2 O 0.048 0.408 0.873
O3 O 0.065 0.908 0.352
O4 O 0.067 0.130 0.916
O5 O 0.072 0.627 0.412
O6 O 0.090 0.686 0.870
O7 O 0.229 0.175 0.629
O8 O 0.233 0.681 0.138
O9 O 0.253 0.385 0.262
O10 O 0.254 0.885 0.765
O11 O 0.333 0.132 0.195
O12 O 0.343 0.627 0.694
O13 O 0.346 0.410 0.536
O14 O 0.350 0.913 0.035
O15 O 0.421 0.163 0.420
O16 O 0.422 0.659 0.927
O17 O 0.433 0.315 0.869
O18 O 0.439 0.819 0.371